Entry 1:
LaPIr2W after structural relaxation. Source: Alexandria, functional PBEsol.

The density of states at the Fermi level comes out at 5.3 states/eV/f.u. The formation energy comes out at 82 meV per atom. For the magnetization, the calculation gives 0.7 μB per formula unit.

The structure in CIF format:
```
data_LaPIr2W
_cell_length_a 4.4976
_cell_length_b 4.4976
_cell_length_c 4.5447
_cell_angle_alpha 90.00
_cell_angle_beta 90.00
_cell_angle_gamma 90.00
_symmetry_space_group_name_H-M 'P 4/m m m'
_symmetry_Int_Tables_number 123
_symmetry_space_group_name_Hall '-P 4 2'
loop_
_atom_site_label
_atom_site_type_symbol
_atom_site_fract_x
_atom_site_fract_y
_atom_site_fract_z
La1 La 0.0000 0.0000 0.0000
P1 P 0.5000 0.5000 0.5000
Ir1 Ir 0.0000 0.5000 0.5000
W1 W 0.5000 0.5000 0.0000
```

=====

Entry 2:
RbCaNbCl2 after structural relaxation. Source: Alexandria, functional PBEsol.

The density of states at the Fermi level comes out at 3.5 states/eV/f.u. Its uncorrected formation energy is 0.125 eV per atom. For the magnetization, the calculation gives 3.5 μB per formula unit.

The structure in CIF format:
```
data_RbCaNbCl2
_cell_length_a 5.1521
_cell_length_b 5.1521
_cell_length_c 6.8379
_cell_angle_alpha 90.00
_cell_angle_beta 90.00
_cell_angle_gamma 90.00
_symmetry_space_group_name_H-M 'P 4/m m m'
_symmetry_Int_Tables_number 123
_symmetry_space_group_name_Hall '-P 4 2'
loop_
_atom_site_label
_atom_site_type_symbol
_atom_site_fract_x
_atom_site_fract_y
_atom_site_fract_z
Rb1 Rb 0.0000 0.0000 0.0000
Ca1 Ca 0.5000 0.5000 0.0000
Nb1 Nb 0.0000 0.0000 0.5000
Cl1 Cl 0.0000 0.5000 0.5000
```

=====

Entry 3:
Ca2BMoRu after structural relaxation. Source: Alexandria, functional PBEsol.

The density of states at the Fermi level comes out at 5.4 states/eV/f.u. The formation energy comes out at 927 meV per atom. For the magnetization, the calculation gives 0.6 μB per formula unit.

The structure in CIF format:
```
data_Ca2BMoRu
_cell_length_a 4.8824
_cell_length_b 4.8824
_cell_length_c 4.0954
_cell_angle_alpha 90.00
_cell_angle_beta 90.00
_cell_angle_gamma 90.00
_symmetry_space_group_name_H-M 'P 4/m m m'
_symmetry_Int_Tables_number 123
_symmetry_space_group_name_Hall '-P 4 2'
loop_
_atom_site_label
_atom_site_type_symbol
_atom_site_fract_x
_atom_site_fract_y
_atom_site_fract_z
Ca1 Ca 0.0000 0.5000 0.0000
B1 B 0.0000 0.0000 0.0000
Mo1 Mo 0.0000 0.0000 0.5000
Ru1 Ru 0.5000 0.5000 0.5000
```

=====

Question: Which value of magnetization does entry 3 give?
Answer: 0.6 μB per formula unit